Model P:
VASP calculation (PBE) on a relaxed DyBe2Ru crystal.

```
4
Lattice="3.0946 0.0000 0.0000 0.0000 3.0946 0.0000 0.0000 0.0000 5.9643" Properties=species:S:1:pos:R:3 pbc="T T T"
Be 0.0000 0.0000 1.0277
Ru 1.5473 1.5473 0.0000
Be 0.0000 0.0000 4.9367
Dy 1.5473 1.5473 2.9822
```

Values from the calculation:
Total magnetic moment = 0.0 μB/cell
Space-group type = P4/mmm, No. 123

Model Q:
VASP calculation (PBE) on a relaxed DyBe2Ru crystal.

```
4
Lattice="-2.8213 1.0835 -2.4255 -0.5994 -1.9742 -3.2803 -4.2185 -3.1752 0.3929" Properties=species:S:1:pos:R:3 pbc="T T T"
Be -2.4175 -1.4912 -0.9497
Dy 0.0000 0.0000 0.0000
Ru -3.8196 -2.0330 -2.6565
Be -5.2217 -2.5747 -4.3632
```

Values from the calculation:
Total magnetic moment = 0.0 μB/cell
Space-group type = R-3m, No. 166

The relative energies come out as model P 44; model Q 0, with values in meV per atom.